Here is an optimized crystal structure of La2ZnNiH from Alexandria via LeMat-Bulk. Energies are from PBE.

Cell lengths 5.190, 5.190, 3.609 Å; angles 90.00, 90.00, 90.00 degrees
Element x y z (fractional)
La  0.000  0.500  0.000
La  0.500  0.000  0.000
Zn  0.000  0.000  0.500
Ni  0.500  0.500  0.500
H  0.500  0.500  0.000

Computed properties:
As for the space-group type: P4/mmm (123). The energy above the most stable polymorph in this dataset is 0.037 eV per atom.

=====

Here is an optimized crystal structure of La2ZnNiH from Alexandria via LeMat-Bulk. Energies are from PBE.

Cell lengths 6.383, 4.330, 7.804 Å; angles 90.00, 104.25, 90.00 degrees
Element x y z (fractional)
La  0.230  0.250  0.417
La  0.237  0.250  0.968
La  0.763  0.750  0.032
La  0.770  0.750  0.583
Zn  0.339  0.750  0.713
Zn  0.661  0.250  0.287
Ni  0.436  0.750  0.234
Ni  0.564  0.250  0.766
H  0.170  0.750  0.178
H  0.830  0.250  0.822

Computed properties:
As for the space-group type: P2_1/m (11). The energy above the most stable polymorph in this dataset is 0.000 eV per atom.